Density functional theory data (GGA-PBE) for a geometry-optimized InTeRh2 structure.

a b c (Å): 6.0934 6.0934 11.2982
angles (deg): 90.00 90.00 90.00
Space group I-42d (No. 122)
Unique sites:
In: 0.0000 0.0000 0.0000 x4
Te: 0.0000 0.0000 0.5000 x4
Rh: 0.2330 0.2500 0.6250 x8

Magnetic moment: 0.00 μB per formula unit
Crystal system: tetragonal
Formation energy without anion corrections: 0.1638 eV per atom